Compound: EuYGa2
Source: Alexandria
Functional: PBE
Structure: relaxed

```
EuYGa2
1.0
3.678 0.000 0.000
0.000 3.678 0.000
0.000 0.000 7.298
Ga Eu Y
2 1 1
direct
0.000 0.000 0.228
0.000 0.000 0.772
0.500 0.500 0.500
0.500 0.500 0.000
```

Output
* Fermi-level density of states: 5.57 states/eV/f.u.
* calculated total energy: -25.0 eV for the cell shown
* space group: No. 123
* crystal system: tetragonal
* magnetization: 7.2 μB/f.u.


Compound: Al2CuCl
Source: Alexandria
Functional: PBE
Structure: relaxed

```
Al2CuCl
1.0
-0.847 -2.989 3.568
2.719 -3.829 0.574
3.004 -0.243 3.646
Cl Al Cu
1 2 1
direct
0.500 0.500 0.500
0.000 0.000 0.000
0.250 0.250 0.250
0.750 0.750 0.750
```

Output
* Fermi-level density of states: 1.20 states/eV/f.u.
* formation energy (no corrections): 1.5 eV/f.u.
* calculated total energy: -11.9 eV for the cell shown
* space group: No. 216
* crystal system: cubic
* magnetization: 0.0 μB/f.u.


Compound: BeB
Source: Alexandria
Functional: PBE
Structure: relaxed

```
BeB
1.0
4.459 0.000 0.000
0.000 4.459 0.000
0.000 0.000 4.459
Be B
4 4
direct
0.750 0.250 0.750
0.250 0.750 0.750
0.750 0.750 0.250
0.250 0.250 0.250
0.000 0.000 0.000
0.000 0.500 0.500
0.500 0.500 0.000
0.500 0.000 0.500
```

Output
* Fermi-level density of states: 0.63 states/eV/f.u.
* calculated total energy: -29.2 eV for the cell shown
* space group: No. 216
* crystal system: cubic
* magnetization: 0.0 μB/f.u.